This record from Alexandria via LeMat-Bulk describes crystalline NaHfSiBr2 at its relaxed geometry. The functional is PBE-GGA.

a b c (Å): 5.428 5.338 5.428
angles (deg): 90.00 90.00 90.00
Sites, in units of the cell vectors:
1 Br 0.000 0.000 0.500
2 Br 0.500 0.000 0.000
3 Si 0.000 0.000 0.000
4 Hf 0.000 0.500 0.000
5 Na 0.500 0.500 0.500

**Raw total energy**: -3.68 eV per atom
**V**: 157.28 Å³/f.u.